LaPrHg: optimized geometry, GGA-PBE.

a b c (Å): 5.3213 5.3306 5.3306
angles (deg): 60.13 60.06 60.06
Site moments in Bohr magnetons follow the coordinates.
Fractional positions:
La  0.7505  0.7495  0.7495  0.13
Pr  0.2496  0.2504  0.2504  0.16
Hg  0.9999  0.0001  0.0001  0.01

The total magnetization comes out at 0.62 μB per cell. Its symmetry is Imm2 (44). Its excess energy over the best structure of this formula in the dataset is 196.6 meV/atom. The formation energy comes out at -116.7 meV/atom.